Entry 1:
# MgTaCr GGA-PBEsol relaxed
# Formation energy from the elements: 0.3907 eV/atom
# Polymorph energy (0 for the lowest one): 0.0 meV/atom
data_MgTaCr
_symmetry_space_group_name_H-M 'I 4 m m'
_symmetry_Int_Tables_number 107
_symmetry_space_group_name_Hall 'I 4 -2'
_cell_length_a 3.186
_cell_length_b 3.186
_cell_length_c 9.872
_cell_angle_alpha 90.00
_cell_angle_beta 90.00
_cell_angle_gamma 90.00
loop_
_atom_site_label
_atom_site_fract_x
_atom_site_fract_y
_atom_site_fract_z
Mg1 0.000 0.000 0.000
Ta1 0.000 0.000 0.707
Cr1 0.000 0.000 0.317

---

Entry 2:
# Na4Al3CrP8O28 GGA-PBEsol relaxed
# Formation energy (no corrections): -2.419 eV per atom
data_Na4Al3CrP8O28
_symmetry_space_group_name_H-M 'P 1'
_symmetry_Int_Tables_number 1
_cell_length_a 7.249
_cell_length_b 7.727
_cell_length_c 9.370
_cell_angle_alpha 90.09
_cell_angle_beta 111.73
_cell_angle_gamma 90.11
loop_
_symmetry_equiv_pos_as_xyz
'x,y,z'
loop_
_atom_site_label
_atom_site_fract_x
_atom_site_fract_y
_atom_site_fract_z
Na1 0.000 0.000 0.000
Na2 0.000 0.452 0.501
Na3 0.417 0.950 0.407
Na4 0.418 0.500 0.905
Al1 0.449 0.967 0.956
Al2 0.968 0.985 0.450
Al3 0.969 0.466 0.951
Cr1 0.448 0.483 0.457
P1 0.033 0.684 0.247
P2 0.039 0.768 0.749
P3 0.378 0.266 0.156
P4 0.379 0.182 0.659
P5 0.633 0.733 0.249
P6 0.638 0.723 0.753
P7 0.782 0.222 0.156
P8 0.783 0.229 0.656
O1 0.019 0.781 0.582
O2 0.020 0.670 0.082
O3 0.063 0.873 0.303
O4 0.065 0.579 0.804
O5 0.175 0.558 0.359
O6 0.187 0.891 0.858
O7 0.232 0.060 0.547
O8 0.232 0.391 0.047
O9 0.349 0.373 0.610
O10 0.350 0.078 0.099
O11 0.393 0.273 0.322
O12 0.397 0.167 0.826
O13 0.512 0.614 0.308
O14 0.516 0.769 0.080
O15 0.518 0.692 0.583
O16 0.526 0.842 0.818
O17 0.585 0.123 0.643
O18 0.586 0.330 0.144
O19 0.707 0.895 0.347
O20 0.709 0.058 0.059
O21 0.709 0.557 0.846
O22 0.717 0.394 0.560
O23 0.826 0.622 0.260
O24 0.834 0.832 0.765
O25 0.894 0.341 0.090
O26 0.895 0.109 0.591
O27 0.901 0.185 0.324
O28 0.902 0.266 0.825

---

Entry 3:
# Bi4O3F7 GGA-PBEsol relaxed
# Formation energy (no corrections): -1.980 eV per atom
data_Bi4O3F7
_symmetry_space_group_name_H-M 'P 1 m 1'
_symmetry_Int_Tables_number 6
_cell_length_a 5.680
_cell_length_b 3.883
_cell_length_c 8.304
_cell_angle_alpha 90.00
_cell_angle_beta 90.96
_cell_angle_gamma 90.00
loop_
_symmetry_equiv_pos_as_xyz
'x,y,z'
'x,-y,z'
loop_
_atom_site_label
_atom_site_fract_x
_atom_site_fract_y
_atom_site_fract_z
Bi1 0.000 0.000 0.000
Bi2 0.004 0.000 0.490
Bi3 0.516 0.500 0.734
Bi4 0.574 0.500 0.239
O1 0.743 0.500 0.997
O2 0.744 0.500 0.484
O3 0.823 0.000 0.242
F1 0.119 0.500 0.709
F2 0.203 0.500 0.388
F3 0.220 0.500 0.057
F4 0.355 0.000 0.222
F5 0.391 0.000 0.877
F6 0.415 0.000 0.569
F7 0.799 0.000 0.742

---

Entry 4:
# Na2Be2Si3O9 GGA-PBEsol relaxed
# Formation energy (no corrections): -2.661 eV per atom
data_Na2Be2Si3O9
_symmetry_space_group_name_H-M 'P n m a'
_symmetry_Int_Tables_number 62
_cell_length_a 11.800
_cell_length_b 9.463
_cell_length_c 6.833
_cell_angle_alpha 90.00
_cell_angle_beta 90.00
_cell_angle_gamma 90.00
loop_
_symmetry_equiv_pos_as_xyz
'x,y,z'
'-x,-y,-z'
'-x+1/2,-y,z+1/2'
'x+1/2,y,-z+1/2'
'x+1/2,-y+1/2,-z+1/2'
'-x+1/2,y+1/2,z+1/2'
'-x,y+1/2,-z'
'x,-y+1/2,z'
loop_
_atom_site_label
_atom_site_fract_x
_atom_site_fract_y
_atom_site_fract_z
Na1 0.152 0.031 0.152
Be1 0.070 0.059 0.594
Si1 0.004 0.250 0.900
Si2 0.062 0.750 0.670
Si3 0.246 0.750 0.974
O1 0.027 0.250 0.141
O2 0.041 0.609 0.545
O3 0.054 0.103 0.818
O4 0.136 0.750 0.124
O5 0.187 0.102 0.497
O6 0.194 0.750 0.748